The following is a PBE-GGA calculation of an optimized crystal structure of Rb4Ac3MgO8, from Alexandria.

Crystal system   monoclinic
Uncorrected energy   -5.808 eV per atom
E_form (uncorrected)   -2.217 eV/atom
Space group   C2/m, No. 12
Spin magnetization   1.018 μB per cell

Cell: 7.3464 7.8642 7.6266 Å, 117.79 118.79 90.00°
Last column: nearest neighbours and their distance in Å.
Element x y z (fractional)
1 Rb 0.0000 0.0000 0.5000  6 O 2.92-3.16
2 Rb 0.0000 0.0000 0.0000  6 O 2.97-3.15
3 Rb 0.5000 0.0000 0.5000  6 O 2.92-3.16
4 Rb 0.5000 0.0000 0.0000  2 O 2.82
5 O 0.2474 0.3323 0.0447  1 Mg 2.23
6 O 0.7448 0.2859 0.4897  2 Ac 2.47
7 O 0.7973 0.3323 0.0447  1 Mg 2.23
8 O 0.2748 0.3097 0.5496  3 Ac 2.50-2.55
9 O 0.7526 0.6677 0.9553  1 Mg 2.23
10 O 0.2552 0.7141 0.5103  2 Ac 2.47
11 O 0.2027 0.6677 0.9553  1 Mg 2.23
12 O 0.7252 0.6903 0.4504  3 Ac 2.50-2.55
13 Ac 0.0000 0.5000 0.5000  6 O 2.47-2.60
14 Ac 0.5000 0.5000 0.5000  6 O 2.47-2.60
15 Ac 0.5000 0.5000 0.0000  6 O 2.52-2.55
16 Mg 0.0000 0.5000 0.0000  4 O 2.23